Density functional theory data (PBE-GGA) for CePm6Nd2 after structural relaxation.

Lattice parameters (Å, degrees): 10.480 7.063 8.911 90.00 108.67 90.00
Space group C2/m (No. 12)
Unique sites:
Ce 0.000 0.000 0.000 [2 per cell]
Pm 0.061 0.261 0.705 [8 per cell]
Pm 0.162 0.500 0.088 [4 per cell]
Nd 0.223 0.000 0.462 [4 per cell]

DFT total energy: -4.735 eV per atom
formation energy: 151 meV per atom